[1]
Computed, not measured: a geometry-optimized KBr2Cl structure at the GGA-PBE level of DFT.

E = -9.392 eV per cell
Crystal system = orthorhombic
DOS(E_F) = 1.35 states/eV per atom
ΔE to the lowest computed polymorph = 0.73 eV per formula unit
V = 147.26 Å³/cell
Symmetry = No. 69

Unit cell a=8.8440 b=8.7318 c=4.2347 alpha=77.54 beta=74.59 gamma=27.87
Fractional coordinates of all 4 atoms:
K 0.0000 0.0000 0.0000
Br 0.0000 0.5000 0.5000
Br 0.5000 0.0000 0.0000
Cl 0.5000 0.5000 0.5000

***

[2]
Computed, not measured: a geometry-optimized KBrCl3 structure at the GGA-PBE level of DFT.

E = -8.616 eV per cell
Crystal system = cubic
DOS(E_F) = 2.32 states/eV per atom
ΔE to the lowest computed polymorph = 3.16 eV per formula unit
V = 215.48 Å³/cell
Symmetry = No. 221

Unit cell a=5.9952 b=5.9952 c=5.9952 alpha=90.00 beta=90.00 gamma=90.00
Fractional coordinates of all 5 atoms:
K 0.0000 0.0000 0.0000
Br 0.5000 0.5000 0.5000
Cl 0.0000 0.0000 0.5000
Cl 0.0000 0.5000 0.0000
Cl 0.5000 0.0000 0.0000

***

[3]
Computed, not measured: a geometry-optimized K2BrCl structure at the GGA-PBE level of DFT.

E = -25.508 eV per cell
Crystal system = tetragonal
DOS(E_F) = 0.00 states/eV per atom
ΔE to the lowest computed polymorph = 0.36 eV per formula unit
V = 379.11 Å³/cell
Symmetry = No. 122

Unit cell a=8.6759 b=8.6759 c=8.6759 alpha=129.50 beta=129.50 gamma=74.21
Fractional coordinates of all 8 atoms:
K 0.1058 0.6250 0.9808
K 0.3750 0.3558 0.4808
K 0.6442 0.1250 0.0192
K 0.8750 0.8942 0.5192
Br 0.2500 0.7500 0.5000
Br 0.5000 0.5000 0.0000
Cl 0.0000 0.0000 0.0000
Cl 0.7500 0.2500 0.5000

***

[4]
Computed, not measured: a geometry-optimized KBrCl2 structure at the GGA-PBE level of DFT.

E = -18.328 eV per cell
Crystal system = tetragonal
DOS(E_F) = 0.37 states/eV per atom
V = 278.92 Å³/cell
Symmetry = No. 122

Unit cell a=9.8830 b=9.8830 c=9.8830 alpha=147.42 beta=147.42 gamma=46.75
Fractional coordinates of all 8 atoms:
K 0.0000 0.0000 0.0000
K 0.7500 0.2500 0.5000
Br 0.2500 0.7500 0.5000
Br 0.5000 0.5000 0.0000
Cl 0.1938 0.6250 0.0688
Cl 0.3750 0.4438 0.5688
Cl 0.5562 0.1250 0.9312
Cl 0.8750 0.8062 0.4312